No. 1
MnAl2Sb | PBE | optimized geometry

The structure belongs to space group C2/m (No. 12); the cell edges are 9.670, 3.016 and 5.065 Å and the angles 90.00°, 103.56° and 90.00°. The inequivalent atoms are Mn at (0.000, 0.000, 0.000), Al at (0.232, 0.500, 0.218) and Sb at (0.000, 0.500, 0.500).

For the electronic total energy, the calculation gives -40.18 eV/cell. As for the magnetic moment: 3.08 μB per formula unit. The calculation puts the uncorrected formation energy at 0.17 eV/atom.

No. 2
NaB3Sb | PBE | optimized geometry

The structure belongs to space group Pm-3m (No. 221); the cell edges are 4.590, 4.590 and 4.590 Å and the angles 90.00°, 90.00° and 90.00°. The inequivalent atoms are Na at (0.000, 0.000, 0.000), B at (0.000, 0.500, 0.500) and Sb at (0.500, 0.500, 0.500).

For the electronic total energy, the calculation gives -15.93 eV/cell. As for the magnetic moment: 0.00 μB per formula unit. The calculation puts the uncorrected formation energy at 1.91 eV/atom. The value obtained for the distance to the lowest polymorph of the same formula is 0 kJ/mol of formula units.